(1)
A plane-wave DFT calculation with PBE was carried out for a relaxed MgP3W crystal.

Geometry as POSCAR:
```
MgP3W
1.0
4.7319 0.0000 0.0000
0.0000 4.7319 0.0000
0.0000 0.0000 4.7319
Mg P W
1 3 1
Direct
0.0000 0.0000 0.0000 Mg
0.0000 0.5000 0.5000 P
0.5000 0.0000 0.5000 P
0.5000 0.5000 0.0000 P
0.5000 0.5000 0.5000 W
```

Output
SG: Pm-3m, No. 221
Energy relative to the elements in kJ/mol of formula units: 183
Offset from the most stable computed form in meV/atom: 0.0
Magnetization in μB/f.u.: 0.0



(2)
A plane-wave DFT calculation with PBE was carried out for a relaxed Y2Er7Tm2 crystal.

Geometry as POSCAR:
```
Y2Er7Tm2
1.0
5.5508 -5.6799 0.0000
5.5508 5.6799 0.0000
-2.3913 0.0000 5.4896
Y Er Tm
2 7 2
Direct
0.2148 0.7852 0.0000 Y
0.7852 0.2148 0.0000 Y
0.0000 0.0000 0.5000 Er
0.0615 0.5901 0.3249 Er
0.2346 0.2346 0.0829 Er
0.4099 0.9385 0.6751 Er
0.5901 0.0615 0.3249 Er
0.7654 0.7654 0.9171 Er
0.9385 0.4099 0.6751 Er
0.4103 0.4103 0.6957 Tm
0.5897 0.5897 0.3043 Tm
```

Output
SG: C2/m, No. 12
Energy relative to the elements in kJ/mol of formula units: 180
Magnetization in μB/f.u.: 0.0



(3)
A plane-wave DFT calculation with PBE was carried out for a relaxed Zr2FeOs crystal.

Geometry as POSCAR:
```
Zr2FeOs
1.0
3.3025 0.0000 0.0000
0.0000 4.2962 0.0000
-1.6431 0.0000 5.0630
Zr Fe Os
2 1 1
Direct
0.0000 0.0000 0.0000 Zr
0.2889 0.5000 0.5804 Zr
0.5623 0.5000 0.1247 Fe
0.7237 0.0000 0.4497 Os
```

Output
SG: Pm, No. 6
Energy relative to the elements in kJ/mol of formula units: -56
Magnetization in μB/f.u.: 1.6



(4)
A plane-wave DFT calculation with PBE was carried out for a relaxed NaPrSi2Au5 crystal.

Geometry as POSCAR:
```
NaPrSi2Au5
1.0
4.6482 0.0000 0.0000
0.0000 4.6482 0.0000
0.0000 0.0000 9.9996
Na Pr Si Au
1 1 2 5
Direct
0.0000 0.0000 0.0000 Na
0.0000 0.0000 0.5000 Pr
0.5000 0.5000 0.2625 Si
0.5000 0.5000 0.7375 Si
0.0000 0.5000 0.2089 Au
0.0000 0.5000 0.7911 Au
0.5000 0.0000 0.2089 Au
0.5000 0.0000 0.7911 Au
0.5000 0.5000 0.5000 Au
```

Output
SG: P4/mmm, No. 123
Total energy in eV per atom: -3.961
Magnetization in μB/f.u.: 0.0



(5)
A plane-wave DFT calculation with PBE was carried out for a relaxed ScP2NCl crystal.

Geometry as POSCAR:
```
ScP2NCl
1.0
3.7532 0.0000 0.0000
0.0000 3.7532 0.0000
0.0000 0.0000 5.6105
Sc P N Cl
1 2 1 1
Direct
0.0000 0.0000 0.0000 Sc
0.0000 0.5000 0.5000 P
0.5000 0.0000 0.5000 P
0.5000 0.5000 0.5000 N
0.5000 0.5000 0.0000 Cl
```

Output
SG: P4/mmm, No. 123
Offset from the most stable computed form in meV/atom: 0.0
Magnetization in μB/f.u.: 0.0



(6)
A plane-wave DFT calculation with PBE was carried out for a relaxed Pm4Y5Th2 crystal.

Geometry as POSCAR:
```
Pm4Y5Th2
1.0
11.9202 -1.7419 0.0000
11.9202 1.7419 0.0000
-1.0721 0.0000 8.8543
Pm Y Th
4 5 2
Direct
0.0467 0.0467 0.3596 Pm
0.3221 0.3221 0.5353 Pm
0.6779 0.6779 0.4647 Pm
0.9533 0.9533 0.6404 Pm
0.0920 0.0920 0.7352 Y
0.2343 0.2343 0.8262 Y
0.5000 0.5000 0.0000 Y
0.7657 0.7657 0.1738 Y
0.9080 0.9080 0.2648 Y
0.1373 0.1373 0.1075 Th
0.8627 0.8627 0.8925 Th
```

Output
SG: C2/m, No. 12
Energy relative to the elements in kJ/mol of formula units: 164
Offset from the most stable computed form in meV/atom: 129.2
Magnetization in μB/f.u.: 0.0



(7)
A plane-wave DFT calculation with PBE was carried out for a relaxed TbDyYAl crystal.

Geometry as POSCAR:
```
TbDyYAl
1.0
0.0000 3.7906 3.7906
3.7906 0.0000 3.7906
3.7906 3.7906 0.0000
Tb Dy Y Al
1 1 1 1
Direct
0.0000 0.0000 0.0000 Tb
0.2500 0.2500 0.2500 Dy
0.5000 0.5000 0.5000 Y
0.7500 0.7500 0.7500 Al
```

Output
SG: F-43m, No. 216
Energy relative to the elements in kJ/mol of formula units: -19
Offset from the most stable computed form in meV/atom: 142.0
Magnetization in μB/f.u.: 0.4



(8)
A plane-wave DFT calculation with PBE was carried out for a relaxed SnGe2W2 crystal.

Geometry as POSCAR:
```
SnGe2W2
1.0
-1.9772 1.9772 6.2229
1.9772 -1.9772 6.2229
1.9772 1.9772 -6.2229
Sn Ge W
1 2 2
Direct
0.0000 0.0000 0.0000 Sn
0.3914 0.3914 0.0000 Ge
0.6086 0.6086 0.0000 Ge
0.2500 0.7500 0.5000 W
0.7500 0.2500 0.5000 W
```

Output
SG: I4/mmm, No. 139
Energy relative to the elements in kJ/mol of formula units: 259
Offset from the most stable computed form in meV/atom: 0.0
Magnetization in μB/f.u.: 0.0



(9)
A plane-wave DFT calculation with PBE was carried out for a relaxed Ac2Cd8Sn crystal.

Geometry as POSCAR:
```
Ac2Cd8Sn
1.0
6.0270 0.0000 0.0000
2.5081 5.5896 0.0000
2.9676 -0.8406 8.9435
Ac Cd Sn
2 8 1
Direct
0.1468 0.2848 0.1816 Ac
0.8532 0.7152 0.8184 Ac
0.2407 0.7602 0.0022 Cd
0.2462 0.0591 0.7419 Cd
0.3371 0.3570 0.4869 Cd
0.4822 0.6492 0.2373 Cd
0.5178 0.3508 0.7627 Cd
0.6629 0.6430 0.5131 Cd
0.7538 0.9409 0.2581 Cd
0.7593 0.2398 0.9978 Cd
0.0000 0.0000 0.5000 Sn
```

Output
SG: P-1, No. 2
Energy relative to the elements in kJ/mol of formula units: -207
Magnetization in μB/f.u.: 0.0



(10)
A plane-wave DFT calculation with PBE was carried out for a relaxed CaCrCuSe2 crystal.

Geometry as POSCAR:
```
CaCrCuSe2
1.0
4.6596 0.0000 0.0000
0.0000 4.6596 0.0000
0.0000 0.0000 5.9684
Ca Cr Cu Se
1 1 1 2
Direct
0.0000 0.0000 0.0000 Ca
0.0000 0.0000 0.5000 Cr
0.5000 0.5000 0.0000 Cu
0.0000 0.5000 0.5000 Se
0.5000 0.0000 0.5000 Se
```

Output
SG: P4/mmm, No. 123
Total energy in eV per atom: -4.304
Magnetization in μB/f.u.: 2.2



(11)
A plane-wave DFT calculation with PBE was carried out for a relaxed ZnFeNiRh crystal.

Geometry as POSCAR:
```
ZnFeNiRh
1.0
0.0000 2.9528 2.9528
2.9528 0.0000 2.9528
2.9528 2.9528 0.0000
Zn Fe Ni Rh
1 1 1 1
Direct
0.0000 0.0000 0.0000 Zn
0.5000 0.5000 0.5000 Fe
0.7500 0.7500 0.7500 Ni
0.2500 0.2500 0.2500 Rh
```

Output
SG: F-43m, No. 216
Energy relative to the elements in kJ/mol of formula units: -68
Magnetization in μB/f.u.: 4.1